(1)
! YScI2 (GGA-PBE, relaxed); values from VASP
&SYSTEM
  ibrav = 0, nat = 8, ntyp = 3
/
ATOMIC_SPECIES
Y 88.91 Y.upf
Sc 44.96 Sc.upf
I 126.90 I.upf
CELL_PARAMETERS angstrom
-2.6688 2.6688 9.6420
2.6688 -2.6688 9.6420
2.6688 2.6688 -9.6420
ATOMIC_POSITIONS angstrom
Y 0.0000 0.0000 0.0000
Y 0.0000 2.6688 4.8210
Sc 2.6688 0.0000 4.8210
Sc 0.0000 0.0000 9.6420
I 1.3344 -1.2879 7.2315
I 1.3809 1.3344 2.4105
I 1.3344 3.9567 -2.4105
I 1.2879 1.3344 12.0525
! Total moment in Bohr magnetons per cell: 6.8
! Excess energy over the best structure of this formula in the dataset in meV/atom: 185
! Symmetry: No. 122
! Uncorrected formation energy in eV/atom: -0.333

=====

(2)
! Y2Sc2I (GGA-PBE, relaxed); values from VASP
&SYSTEM
  ibrav = 0, nat = 5, ntyp = 3
/
ATOMIC_SPECIES
Y 88.91 Y.upf
Sc 44.96 Sc.upf
I 126.90 I.upf
CELL_PARAMETERS angstrom
-1.9832 1.9832 9.6146
1.9832 -1.9832 9.6146
1.9832 1.9832 -9.6146
ATOMIC_POSITIONS angstrom
Y 0.0000 0.0000 2.0829
Y 0.0000 0.0000 17.1462
Sc 1.9832 0.0000 4.8073
Sc 0.0000 1.9832 4.8073
I 0.0000 0.0000 9.6146
! Total moment in Bohr magnetons per cell: 0.0
! Excess energy over the best structure of this formula in the dataset in meV/atom: 30
! Symmetry: No. 139
! Uncorrected formation energy in eV/atom: 0.064

=====

(3)
! Y2Sc2I (GGA-PBE, relaxed); values from VASP
&SYSTEM
  ibrav = 0, nat = 10, ntyp = 3
/
ATOMIC_SPECIES
Y 88.91 Y.upf
Sc 44.96 Sc.upf
I 126.90 I.upf
CELL_PARAMETERS angstrom
7.9981 0.0000 0.0000
0.0000 7.9981 0.0000
0.0000 0.0000 4.7955
ATOMIC_POSITIONS angstrom
Y 1.1830 2.8160 0.0000
Y 2.8160 6.8151 0.0000
Y 5.1820 1.1830 0.0000
Y 6.8151 5.1820 0.0000
Sc 1.0988 5.0978 2.3978
Sc 2.9003 1.0988 2.3978
Sc 5.0978 6.8993 2.3978
Sc 6.8993 2.9003 2.3978
I 0.0000 0.0000 0.0000
I 3.9990 3.9990 0.0000
! Total moment in Bohr magnetons per cell: 0.0
! Excess energy over the best structure of this formula in the dataset in meV/atom: 0
! Symmetry: No. 127
! Uncorrected formation energy in eV/atom: 0.034

=====

(4)
! YScI4 (GGA-PBE, relaxed); values from VASP
&SYSTEM
  ibrav = 0, nat = 6, ntyp = 3
/
ATOMIC_SPECIES
Y 88.91 Y.upf
Sc 44.96 Sc.upf
I 126.90 I.upf
CELL_PARAMETERS angstrom
7.1293 0.0000 0.0000
0.0000 4.0977 0.0000
-0.0587 0.0000 7.8862
ATOMIC_POSITIONS angstrom
Y 0.0000 0.0000 0.0000
Sc 3.5647 2.0488 0.0000
I 1.2041 2.0488 5.9718
I 2.4401 0.0000 1.8420
I 4.6305 0.0000 6.0443
I 5.8666 2.0488 1.9145
! Total moment in Bohr magnetons per cell: 0.0
! Symmetry: No. 10
! Uncorrected formation energy in eV/atom: -1.164

=====

(5)
! YSc2I6 (GGA-PBE, relaxed); values from VASP
&SYSTEM
  ibrav = 0, nat = 9, ntyp = 3
/
ATOMIC_SPECIES
Y 88.91 Y.upf
Sc 44.96 Sc.upf
I 126.90 I.upf
CELL_PARAMETERS angstrom
8.4106 -2.0364 0.0000
8.4106 2.0364 0.0000
-4.8755 0.0000 10.0876
ATOMIC_POSITIONS angstrom
Y 0.0000 0.0000 0.0000
Sc 2.2700 0.0000 6.5589
Sc 9.6756 0.0000 3.5287
I -0.8628 0.0000 2.9307
I 3.3550 0.0000 3.8602
I 1.3213 0.0000 9.4745
I 10.6243 0.0000 0.6131
I 8.5906 0.0000 6.2274
I 12.8084 0.0000 7.1569
! Total moment in Bohr magnetons per cell: 0.0
! Symmetry: No. 12
! Uncorrected formation energy in eV/atom: -1.145

=====

(6)
! YScI (GGA-PBE, relaxed); values from VASP
&SYSTEM
  ibrav = 0, nat = 3, ntyp = 3
/
ATOMIC_SPECIES
Y 88.91 Y.upf
Sc 44.96 Sc.upf
I 126.90 I.upf
CELL_PARAMETERS angstrom
5.1444 0.0000 0.0000
-2.5722 4.4552 0.0000
0.0000 0.0000 3.7350
ATOMIC_POSITIONS angstrom
Y 0.0000 0.0000 0.0000
Sc 2.5722 1.4851 1.8222
I 0.0000 2.9701 1.5875
! Total moment in Bohr magnetons per cell: 0.0
! Symmetry: No. 156
! Uncorrected formation energy in eV/atom: -0.125